# 1
## Er2LuH (PBE)

Data for a relaxed Er2LuH crystal.

Output
energy above the most stable polymorph in this dataset = 1.21 eV per formula unit

Cell lengths 3.3005, 3.3005, 8.2988 Å; angles 90.00, 90.00, 90.00 degrees
With the nearest neighbours (Å) after each atom.
Atoms (fractional coordinates):
Er: 0.0000 0.0000 0.1938  4 H 2.83
Er: 0.0000 0.0000 0.8062  4 H 2.83
Lu: 0.5000 0.5000 0.5000  4 Lu 3.30, 8 Er 3.45
H: 0.5000 0.5000 0.0000  8 Er 2.83


# 2
## CrBAu (PBE)

Data for a relaxed CrBAu crystal.

Output
DFT formation energy = 427.8 meV/atom

Cell lengths 4.6961, 4.6961, 4.6961 Å; angles 39.50, 39.50, 39.50 degrees
With the nearest neighbours (Å) after each atom.
Atoms (fractional coordinates):
Cr: 0.0000 0.0000 0.0000  3 B 2.03
B: 0.7341 0.7341 0.7341  3 Cr 2.03
Au: 0.5080 0.5080 0.5080  3 B 2.30


# 3
## RbH2Pd (PBE)

Data for a relaxed RbH2Pd crystal.

Output
energy above the most stable polymorph in this dataset = 0.61 eV per formula unit

Cell lengths 4.8162, 4.8162, 6.3822 Å; angles 126.67, 126.67, 35.86 degrees
With the nearest neighbours (Å) after each atom.
Atoms (fractional coordinates):
Rb: 0.0000 0.0000 0.0000  6 H 2.93-2.99, 2 Rb 2.97
H: 0.1356 0.1356 0.6883  2 Pd 1.82
H: 0.8644 0.8644 0.3117  2 Pd 1.82
Pd: 0.5000 0.5000 0.5000  4 H 1.82


# 4
## ScHgAu4 (PBE)

Data for a relaxed ScHgAu4 crystal.

Output
DFT formation energy = -233.2 meV/atom

Cell lengths 5.5347, 5.5347, 5.5347 Å; angles 60.00, 60.00, 60.00 degrees
With the nearest neighbours (Å) after each atom.
Atoms (fractional coordinates):
Sc: 0.0000 0.0000 0.0000  12 Au 3.24, 4 Hg 3.39
Hg: 0.2500 0.2500 0.2500  12 Au 3.25, 4 Sc 3.39
Au: 0.1247 0.6251 0.6251  6 Au 2.77
Au: 0.6251 0.1247 0.6251  6 Au 2.77
Au: 0.6251 0.6251 0.1247  6 Au 2.77
Au: 0.6251 0.6251 0.6251  6 Au 2.77


# 5
## MgIn3Rh2 (PBE)

Data for a relaxed MgIn3Rh2 crystal.

Output
DFT formation energy = -143.8 meV/atom

Cell lengths 7.1201, 7.1201, 7.1201 Å; angles 60.25, 60.25, 60.25 degrees
With the nearest neighbours (Å) after each atom.
Atoms (fractional coordinates):
Mg: 0.0000 0.0000 0.0000  2 Rh 2.64, 6 In 2.92
Mg: 0.5000 0.5000 0.5000  2 Rh 2.64, 6 In 2.92
In: 0.0445 0.7500 0.4555  4 Rh 2.71-2.80, 2 Mg 2.92
In: 0.2500 0.5445 0.9555  4 Rh 2.71-2.80, 2 Mg 2.92
In: 0.4555 0.0445 0.7500  4 Rh 2.71-2.80, 2 Mg 2.92
In: 0.5445 0.9555 0.2500  4 Rh 2.71-2.80, 2 Mg 2.92
In: 0.7500 0.4555 0.0445  4 Rh 2.71-2.80, 2 Mg 2.92
In: 0.9555 0.2500 0.5445  4 Rh 2.71-2.80, 2 Mg 2.92
Rh: 0.1516 0.1516 0.1516  1 Mg 2.64, 6 In 2.71-2.80
Rh: 0.3484 0.3484 0.3484  1 Mg 2.64, 6 In 2.71-2.80
Rh: 0.6516 0.6516 0.6516  1 Mg 2.64, 6 In 2.71-2.80
Rh: 0.8484 0.8484 0.8484  1 Mg 2.64, 6 In 2.71-2.80


# 6
## Pu5Zn3Ga3 (PBE)

Data for a relaxed Pu5Zn3Ga3 crystal.

Output
DFT formation energy = 114.4 meV/atom

Cell lengths 9.8243, 9.8243, 2.8936 Å; angles 90.00, 90.00, 120.00 degrees
With the nearest neighbours (Å) after each atom.
Atoms (fractional coordinates):
Pu: 0.0000 0.6518 0.0000  4 Pu 2.89-3.20, 2 Ga 2.97, 2 Zn 3.04
Pu: 0.3333 0.6667 0.0000  5 Pu 2.89-3.20
Pu: 0.3482 0.3482 0.0000  4 Pu 2.89-3.20, 2 Ga 2.97, 2 Zn 3.04
Pu: 0.6518 0.0000 0.0000  4 Pu 2.89-3.20, 2 Ga 2.97, 2 Zn 3.04
Pu: 0.6667 0.3333 0.0000  5 Pu 2.89-3.20
Zn: 0.0000 0.3794 0.5000  2 Ga 2.64, 2 Zn 2.89
Zn: 0.3794 0.0000 0.5000  2 Ga 2.64, 2 Zn 2.89
Zn: 0.6206 0.6206 0.5000  2 Ga 2.64, 2 Zn 2.89
Ga: 0.0000 0.1546 0.0000  4 Ga 2.63-2.89, 2 Zn 2.64
Ga: 0.1546 0.0000 0.0000  4 Ga 2.63-2.89, 2 Zn 2.64
Ga: 0.8454 0.8454 0.0000  4 Ga 2.63-2.89, 2 Zn 2.64


# 7
## LaCoSn2Sb (PBE)

Data for a relaxed LaCoSn2Sb crystal.

Output
ΔE_f (raw) = -0.454 eV per atom

Cell lengths 4.9534, 4.9534, 5.1718 Å; angles 90.00, 90.00, 90.00 degrees
With the nearest neighbours (Å) after each atom.
Atoms (fractional coordinates):
La: 0.0000 0.0000 0.0000  2 Co 2.59
Co: 0.0000 0.0000 0.5000  4 Sn 2.48, 2 La 2.59
Sn: 0.0000 0.5000 0.5000  2 Co 2.48
Sn: 0.5000 0.0000 0.5000  2 Co 2.48
Sb: 0.5000 0.5000 0.0000  4 La 3.50, 8 Sn 3.58


# 8
## Sm2HoScTl2 (PBE)

Data for a relaxed Sm2HoScTl2 crystal.

Output
DFT formation energy = -256.5 meV/atom

Cell lengths 4.9855, 9.9215, 6.8953 Å; angles 90.00, 90.00, 90.00 degrees
With the nearest neighbours (Å) after each atom.
Atoms (fractional coordinates):
Sm: 0.0000 0.0470 0.0000  5 Tl 3.23-3.55, 4 Sm 3.45-3.57
Sm: 0.0000 0.9530 0.5000  5 Tl 3.23-3.55, 4 Sm 3.45-3.57
Sm: 0.5000 0.1889 0.2802  4 Tl 3.19-3.34, 2 Sm 3.45
Sm: 0.5000 0.8111 0.7802  4 Tl 3.19-3.34, 2 Sm 3.45
Ho: 0.5000 0.4552 0.9005  5 Tl 3.19-3.35, 2 Sc 3.50, 2 Ho 3.56
Ho: 0.5000 0.5448 0.4005  5 Tl 3.19-3.35, 2 Sc 3.50, 2 Ho 3.56
Sc: 0.0000 0.3108 0.6116  4 Tl 3.05-3.12
Sc: 0.0000 0.6892 0.1116  4 Tl 3.05-3.12
Tl: 0.0000 0.3846 0.1714  2 Sc 3.05-3.12, 4 Ho 3.19-3.35, 2 Sm 3.25
Tl: 0.0000 0.6154 0.6714  2 Sc 3.05-3.12, 4 Ho 3.19-3.35, 2 Sm 3.25
Tl: 0.5000 0.1468 0.7393  2 Sc 3.10, 4 Sm 3.19-3.34, 1 Ho 3.26
Tl: 0.5000 0.8532 0.2393  2 Sc 3.10, 4 Sm 3.19-3.34, 1 Ho 3.26


# 9
## CoRe2Si (PBE)

Data for a relaxed CoRe2Si crystal.

Output
ΔE_f (raw) = -0.012 eV per atom

Cell lengths 2.8928, 2.8928, 6.2307 Å; angles 90.00, 90.00, 90.00 degrees
With the nearest neighbours (Å) after each atom.
Atoms (fractional coordinates):
Co: 0.0000 0.0000 0.0000  8 Re 2.60, 4 Co 2.89
Re: 0.5000 0.5000 0.2581  4 Si 2.54, 4 Co 2.60
Re: 0.5000 0.5000 0.7419  4 Si 2.54, 4 Co 2.60
Si: 0.0000 0.0000 0.5000  8 Re 2.54


# 10
## SrCdF2 (PBE)

Data for a relaxed SrCdF2 crystal.

Output
energy above the most stable polymorph in this dataset = 0.00 eV per formula unit
ΔE_f (raw) = -2.693 eV per atom

Cell lengths 8.8101, 8.8101, 8.8101 Å; angles 25.50, 25.50, 25.50 degrees
With the nearest neighbours (Å) after each atom.
Atoms (fractional coordinates):
Sr: 0.0000 0.0000 0.0000  6 F 2.45
Cd: 0.5000 0.5000 0.5000  2 F 3.28
F: 0.3715 0.3715 0.3715  3 Sr 2.45
F: 0.6285 0.6285 0.6285  3 Sr 2.45


# 11
## LiV2Sb2 (PBE)

Data for a relaxed LiV2Sb2 crystal.

Output
energy above the most stable polymorph in this dataset = 0.01 eV per formula unit
ΔE_f (raw) = -0.016 eV per atom

Cell lengths 7.0745, 7.0745, 7.0745 Å; angles 147.54, 147.54, 46.56 degrees
With the nearest neighbours (Å) after each atom.
Atoms (fractional coordinates):
Li: 0.0000 0.0000 0.0000  8 Sb 3.15
V: 0.2500 0.7500 0.5000  4 Sb 2.67, 4 V 2.80
V: 0.7500 0.2500 0.5000  4 Sb 2.67, 4 V 2.80
Sb: 0.3876 0.3876 0.0000  4 V 2.67, 1 Sb 2.92
Sb: 0.6124 0.6124 0.0000  4 V 2.67, 1 Sb 2.92


# 12
## MgP2O (PBE)

Data for a relaxed MgP2O crystal.

Output
energy above the most stable polymorph in this dataset = 2.55 eV per formula unit
ΔE_f (raw) = 0.522 eV per atom

Cell lengths 4.3143, 4.3143, 4.3143 Å; angles 60.00, 60.00, 60.00 degrees
With the nearest neighbours (Å) after each atom.
Atoms (fractional coordinates):
Mg: 0.0000 0.0000 0.0000  8 P 2.64
P: 0.2500 0.2500 0.2500  4 O 2.64, 4 Mg 2.64
P: 0.7500 0.7500 0.7500  4 O 2.64, 4 Mg 2.64
O: 0.5000 0.5000 0.5000  8 P 2.64


# 13
## AlRe2Mo (PBE)

Data for a relaxed AlRe2Mo crystal.

Output
DFT formation energy = 70.0 meV/atom

Cell lengths 2.7131, 2.7131, 8.8295 Å; angles 90.00, 90.00, 111.13 degrees
With the nearest neighbours (Å) after each atom.
Atoms (fractional coordinates):
Al: 0.0000 0.0000 0.0000  2 Re 2.66, 2 Mo 2.68, 4 Al 2.71
Re: 0.0000 0.0000 0.5031  6 Re 2.70-2.71, 2 Mo 2.71
Re: 0.5000 0.5000 0.7545  2 Al 2.66, 6 Re 2.70-2.71
Mo: 0.5000 0.5000 0.2495  2 Al 2.68, 4 Mo 2.71, 2 Re 2.71


# 14
## ZrAl2Cu (PBE)

Data for a relaxed ZrAl2Cu crystal.

Output
DFT formation energy = -96.3 meV/atom

Cell lengths 5.7921, 5.7921, 5.7921 Å; angles 103.10, 103.10, 123.14 degrees
With the nearest neighbours (Å) after each atom.
Atoms (fractional coordinates):
Zr: 0.0000 0.0000 0.0000  2 Cu 2.76, 4 Al 2.89
Zr: 0.7500 0.2500 0.5000  2 Cu 2.76, 4 Al 2.89
Al: 0.1738 0.6250 0.0488  2 Cu 2.41
Al: 0.3750 0.4238 0.5488  2 Cu 2.41
Al: 0.5762 0.1250 0.9512  2 Cu 2.41
Al: 0.8750 0.8262 0.4512  2 Cu 2.41
Cu: 0.2500 0.7500 0.5000  4 Al 2.41
Cu: 0.5000 0.5000 0.0000  4 Al 2.41